Entry 1:
First-principles (GGA-PBE) data for a relaxed Cr2ReSi crystal, as listed in the Alexandria database. Values from VASP.

D(E_F)	0.974	states/eV per atom
energy relative to the elements, uncorrected	10	meV/atom
volume	12.7	Å³ per atom

```
&SYSTEM
  ibrav = 0, nat = 4, ntyp = 3
/
ATOMIC_SPECIES
Cr 52.00 Cr.upf
Re 186.21 Re.upf
Si 28.09 Si.upf
CELL_PARAMETERS angstrom
2.4717 -4.1002 0.0000
2.4717 4.1002 0.0000
-0.8358 0.0000 2.5082
ATOMIC_POSITIONS crystal
Cr 0.0000 0.5000 0.0000
Cr 0.5000 0.0000 0.0000
Re 0.0000 0.0000 0.5000
Si 0.5000 0.5000 0.5000
```



Entry 2:
First-principles (GGA-PBE) data for a relaxed Cr2ReSi crystal, as listed in the Alexandria database. Values from VASP.

D(E_F)	0.592	states/eV per atom
energy relative to the elements, uncorrected	-25	meV/atom
volume	12.6	Å³ per atom

```
&SYSTEM
  ibrav = 0, nat = 4, ntyp = 3
/
ATOMIC_SPECIES
Cr 52.00 Cr.upf
Re 186.21 Re.upf
Si 28.09 Si.upf
CELL_PARAMETERS angstrom
2.7366 0.0000 0.0000
0.0000 2.7366 0.0000
0.0000 0.0000 6.7083
ATOMIC_POSITIONS crystal
Cr 0.0000 0.0000 0.2337
Cr 0.0000 0.0000 0.7663
Re 0.5000 0.5000 0.5000
Si 0.5000 0.5000 0.0000
```



Entry 3:
First-principles (GGA-PBE) data for a relaxed CrReSi2 crystal, as listed in the Alexandria database. Values from VASP.

D(E_F)	0.889	states/eV per atom
energy relative to the elements, uncorrected	56	meV/atom
volume	13.2	Å³ per atom

```
&SYSTEM
  ibrav = 0, nat = 4, ntyp = 3
/
ATOMIC_SPECIES
Cr 52.00 Cr.upf
Re 186.21 Re.upf
Si 28.09 Si.upf
CELL_PARAMETERS angstrom
2.7847 0.0000 0.0000
0.0000 3.8182 0.0000
-0.4749 0.0000 4.9530
ATOMIC_POSITIONS crystal
Cr 0.0000 0.0000 0.0000
Re 0.5000 0.0000 0.5000
Si 0.2032 0.5000 0.7575
Si 0.7968 0.5000 0.2425
```



Entry 4:
First-principles (GGA-PBE) data for a relaxed CrReSi2 crystal, as listed in the Alexandria database. Values from VASP.

D(E_F)	0.648	states/eV per atom
energy relative to the elements, uncorrected	171	meV/atom
volume	13.2	Å³ per atom

```
&SYSTEM
  ibrav = 0, nat = 4, ntyp = 3
/
ATOMIC_SPECIES
Cr 52.00 Cr.upf
Re 186.21 Re.upf
Si 28.09 Si.upf
CELL_PARAMETERS angstrom
0.0000 2.9774 2.9774
2.9774 0.0000 2.9774
2.9774 2.9774 0.0000
ATOMIC_POSITIONS crystal
Cr 0.0000 0.0000 0.0000
Re 0.7500 0.7500 0.7500
Si 0.2500 0.2500 0.2500
Si 0.5000 0.5000 0.5000
```



Entry 5:
First-principles (GGA-PBE) data for a relaxed CrReSi crystal, as listed in the Alexandria database. Values from VASP.

D(E_F)	0.848	states/eV per atom
energy relative to the elements, uncorrected	-189	meV/atom
volume	12.7	Å³ per atom

```
&SYSTEM
  ibrav = 0, nat = 3, ntyp = 3
/
ATOMIC_SPECIES
Cr 52.00 Cr.upf
Re 186.21 Re.upf
Si 28.09 Si.upf
CELL_PARAMETERS angstrom
-1.4746 1.4746 4.3859
1.4746 -1.4746 4.3859
1.4746 1.4746 -4.3859
ATOMIC_POSITIONS crystal
Cr 0.0000 0.0000 0.0000
Re 0.6697 0.6697 0.0000
Si 0.3435 0.3435 0.0000
```



Entry 6:
First-principles (GGA-PBE) data for a relaxed CrRe2Si2 crystal, as listed in the Alexandria database. Values from VASP.

D(E_F)	1.161	states/eV per atom
energy relative to the elements, uncorrected	759	meV/atom
volume	16.5	Å³ per atom

```
&SYSTEM
  ibrav = 0, nat = 5, ntyp = 3
/
ATOMIC_SPECIES
Cr 52.00 Cr.upf
Re 186.21 Re.upf
Si 28.09 Si.upf
CELL_PARAMETERS angstrom
-2.1064 2.1064 4.6427
2.1064 -2.1064 4.6427
2.1064 2.1064 -4.6427
ATOMIC_POSITIONS crystal
Cr 0.0000 0.0000 0.0000
Re 0.3760 0.3760 0.0000
Re 0.6240 0.6240 0.0000
Si 0.2500 0.7500 0.5000
Si 0.7500 0.2500 0.5000
```



Entry 7:
First-principles (GGA-PBE) data for a relaxed CrReSi2 crystal, as listed in the Alexandria database. Values from VASP.

D(E_F)	0.518	states/eV per atom
energy relative to the elements, uncorrected	16	meV/atom
volume	13.4	Å³ per atom

```
&SYSTEM
  ibrav = 0, nat = 4, ntyp = 3
/
ATOMIC_SPECIES
Cr 52.00 Cr.upf
Re 186.21 Re.upf
Si 28.09 Si.upf
CELL_PARAMETERS angstrom
1.4085 0.8132 7.8127
-1.4085 0.8132 7.8127
0.0000 -1.6264 7.8127
ATOMIC_POSITIONS crystal
Cr 0.0000 0.0000 0.0000
Re 0.7522 0.7522 0.7522
Si 0.2547 0.2547 0.2547
Si 0.5034 0.5034 0.5034
```



Entry 8:
First-principles (GGA-PBE) data for a relaxed Cr2ReSi crystal, as listed in the Alexandria database. Values from VASP.

D(E_F)	0.637	states/eV per atom
energy relative to the elements, uncorrected	-59	meV/atom
volume	12.7	Å³ per atom

```
&SYSTEM
  ibrav = 0, nat = 4, ntyp = 3
/
ATOMIC_SPECIES
Cr 52.00 Cr.upf
Re 186.21 Re.upf
Si 28.09 Si.upf
CELL_PARAMETERS angstrom
2.6578 0.0000 0.0000
0.0000 4.0118 0.0000
-1.1213 0.0000 4.7665
ATOMIC_POSITIONS crystal
Cr 0.0098 0.0000 0.2312
Cr 0.9902 0.0000 0.7688
Re 0.5000 0.5000 0.5000
Si 0.5000 0.5000 0.0000
```



Entry 9:
First-principles (GGA-PBE) data for a relaxed Cr3ReSi crystal, as listed in the Alexandria database. Values from VASP.

D(E_F)	0.652	states/eV per atom
energy relative to the elements, uncorrected	1501	meV/atom
volume	20.2	Å³ per atom
excess energy over the best structure of this formula in the dataset	371	meV/atom

```
&SYSTEM
  ibrav = 0, nat = 5, ntyp = 3
/
ATOMIC_SPECIES
Cr 52.00 Cr.upf
Re 186.21 Re.upf
Si 28.09 Si.upf
CELL_PARAMETERS angstrom
4.6544 0.0000 0.0000
0.0000 4.6544 0.0000
0.0000 0.0000 4.6544
ATOMIC_POSITIONS crystal
Cr 0.0000 0.0000 0.5000
Cr 0.0000 0.5000 0.0000
Cr 0.5000 0.0000 0.0000
Re 0.0000 0.0000 0.0000
Si 0.5000 0.5000 0.5000
```



Entry 10:
First-principles (GGA-PBE) data for a relaxed CrRe3Si crystal, as listed in the Alexandria database. Values from VASP.

D(E_F)	0.745	states/eV per atom
energy relative to the elements, uncorrected	1404	meV/atom
volume	16.5	Å³ per atom
excess energy over the best structure of this formula in the dataset	0	meV/atom

```
&SYSTEM
  ibrav = 0, nat = 5, ntyp = 3
/
ATOMIC_SPECIES
Cr 52.00 Cr.upf
Re 186.21 Re.upf
Si 28.09 Si.upf
CELL_PARAMETERS angstrom
4.3516 0.0000 0.0000
0.0000 4.3516 0.0000
0.0000 0.0000 4.3516
ATOMIC_POSITIONS crystal
Cr 0.0000 0.0000 0.0000
Re 0.0000 0.5000 0.5000
Re 0.5000 0.0000 0.5000
Re 0.5000 0.5000 0.0000
Si 0.5000 0.5000 0.5000
```



Entry 11:
First-principles (GGA-PBE) data for a relaxed CrReSi2 crystal, as listed in the Alexandria database. Values from VASP.

D(E_F)	0.623	states/eV per atom
energy relative to the elements, uncorrected	-80	meV/atom
volume	12.9	Å³ per atom

```
&SYSTEM
  ibrav = 0, nat = 4, ntyp = 3
/
ATOMIC_SPECIES
Cr 52.00 Cr.upf
Re 186.21 Re.upf
Si 28.09 Si.upf
CELL_PARAMETERS angstrom
-1.5069 1.9711 4.3302
1.5069 -1.9711 4.3302
1.5069 1.9711 -4.3302
ATOMIC_POSITIONS crystal
Cr 0.0000 0.0000 0.0000
Re 0.2479 0.7479 0.5000
Si 0.4971 0.4971 0.0000
Si 0.7795 0.2795 0.5000
```



Entry 12:
First-principles (GGA-PBE) data for a relaxed Cr2ReSi crystal, as listed in the Alexandria database. Values from VASP.

D(E_F)	0.699	states/eV per atom
energy relative to the elements, uncorrected	5	meV/atom
volume	12.8	Å³ per atom

```
&SYSTEM
  ibrav = 0, nat = 4, ntyp = 3
/
ATOMIC_SPECIES
Cr 52.00 Cr.upf
Re 186.21 Re.upf
Si 28.09 Si.upf
CELL_PARAMETERS angstrom
2.7117 0.0000 0.0000
0.0000 3.8314 0.0000
0.0000 0.0000 4.9312
ATOMIC_POSITIONS crystal
Cr 0.0000 0.0000 0.0000
Cr 0.5000 0.5000 0.2602
Re 0.0000 0.0000 0.5099
Si 0.5000 0.5000 0.7703
```



Entry 13:
First-principles (GGA-PBE) data for a relaxed Cr2ReSi crystal, as listed in the Alexandria database. Values from VASP.

D(E_F)	0.812	states/eV per atom
energy relative to the elements, uncorrected	-167	meV/atom
volume	12.5	Å³ per atom

```
&SYSTEM
  ibrav = 0, nat = 4, ntyp = 3
/
ATOMIC_SPECIES
Cr 52.00 Cr.upf
Re 186.21 Re.upf
Si 28.09 Si.upf
CELL_PARAMETERS angstrom
-1.5018 2.0298 4.0920
1.5018 -2.0298 4.0920
1.5018 2.0298 -4.0920
ATOMIC_POSITIONS crystal
Cr 0.0000 0.0000 0.0000
Cr 0.7594 0.2594 0.5000
Re 0.5089 0.5089 0.0000
Si 0.2500 0.7500 0.5000
```



Entry 14:
First-principles (GGA-PBE) data for a relaxed CrReSi2 crystal, as listed in the Alexandria database. Values from VASP.

D(E_F)	1.006	states/eV per atom
energy relative to the elements, uncorrected	-21	meV/atom
volume	13.1	Å³ per atom

```
&SYSTEM
  ibrav = 0, nat = 4, ntyp = 3
/
ATOMIC_SPECIES
Cr 52.00 Cr.upf
Re 186.21 Re.upf
Si 28.09 Si.upf
CELL_PARAMETERS angstrom
4.0457 -1.3994 0.0000
4.0457 1.3994 0.0000
-0.8161 0.0000 4.6126
ATOMIC_POSITIONS crystal
Cr 0.0000 0.0000 0.0000
Re 0.5000 0.5000 0.5000
Si 0.2516 0.2516 0.7681
Si 0.7484 0.7484 0.2319
```



Entry 15:
First-principles (GGA-PBE) data for a relaxed Cr2ReSi crystal, as listed in the Alexandria database. Values from VASP.

D(E_F)	0.869	states/eV per atom
energy relative to the elements, uncorrected	112	meV/atom
volume	12.9	Å³ per atom

```
&SYSTEM
  ibrav = 0, nat = 4, ntyp = 3
/
ATOMIC_SPECIES
Cr 52.00 Cr.upf
Re 186.21 Re.upf
Si 28.09 Si.upf
CELL_PARAMETERS angstrom
1.5254 -2.1625 0.0000
1.5254 2.1625 0.0000
0.0000 0.0000 7.8075
ATOMIC_POSITIONS crystal
Cr 0.0000 0.0000 0.0000
Cr 0.5000 0.5000 0.2389
Re 0.5000 0.5000 0.7363
Si 0.0000 0.0000 0.4744
```